[1]
Here is a relaxed structure of Cu2IrW from Alexandria. Energies are from PBE-GGA.

Geometry as CIF:
```
data_Cu2IrW
_chemical_formula_sum 'Cu2 Ir1 W1'
_space_group_name_H-M_alt 'P 4 m m'
_space_group_IT_number 99
_cell_length_a 2.807
_cell_length_b 2.807
_cell_length_c 6.994
_cell_angle_alpha 90.00
_cell_angle_beta 90.00
_cell_angle_gamma 90.00
loop_
_space_group_symop_operation_xyz
'x,y,z'
'-y,x,z'
'-x,-y,z'
'y,-x,z'
'-x,y,z'
'y,x,z'
'x,-y,z'
'-y,-x,z'
loop_
_atom_site_label
_atom_site_fract_x
_atom_site_fract_y
_atom_site_fract_z
_atom_site_occupancy
Cu1 0.000 0.000 0.000 1
Cu2 0.500 0.500 0.219 1
Ir1 0.000 0.000 0.476 1
W1 0.500 0.500 0.733 1
```

Formation energy from the elements, meV per atom: 61
Excess energy over the best structure of this formula in the dataset, meV/atom: 0.0
Spin magnetization, μB per cell: 0.0

=====

[2]
Here is a relaxed structure of Cu4IrW from Alexandria. Energies are from PBE-GGA.

Geometry as CIF:
```
data_Cu4IrW
_chemical_formula_sum 'Cu16 Ir4 W4'
_space_group_name_H-M_alt 'F -4 3 m'
_space_group_IT_number 216
_space_group_name_Hall 'F -4 2 3'
_cell_length_a 6.722
_cell_length_b 6.722
_cell_length_c 6.722
_cell_angle_alpha 90.00
_cell_angle_beta 90.00
_cell_angle_gamma 90.00
loop_
_atom_site_label
_atom_site_fract_x
_atom_site_fract_y
_atom_site_fract_z
_atom_site_occupancy
Cu1 0.125 0.125 0.125 1
Ir1 0.250 0.250 0.750 1
W1 0.000 0.000 0.500 1
```

Formation energy from the elements, meV per atom: 144
Spin magnetization, μB per cell: 0.0